A plane-wave DFT calculation with PBE was carried out for a geometry-optimized TiP2Ir structure.

Computed properties:
Energy relative to the lowest polymorph listed for this composition, eV/atom: 0.056
Theoretical density, g/cm3: 6.32

abc: 5.3584 5.3584 6.7028
angles: 66.44 66.44 90.00
Closest atoms and distances in Å follow each position.
Atoms (fractional coordinates):
P: 0.6489 0.1250 0.2500  2 Ir 2.27, 2 Ti 2.42
P: 0.1011 0.6250 0.2500  2 Ir 2.27, 2 Ti 2.42
P: 0.3750 0.3511 0.7500  2 Ir 2.27, 2 Ti 2.42
P: 0.8750 0.8989 0.7500  2 Ir 2.27, 2 Ti 2.42
Ir: 0.0000 0.0000 0.0000  4 P 2.27
Ir: 0.7500 0.2500 0.5000  4 P 2.27
Ti: 0.5000 0.5000 0.0000  4 P 2.42
Ti: 0.2500 0.7500 0.5000  4 P 2.42


A plane-wave DFT calculation with PBE was carried out for a geometry-optimized TiPIr structure.

Computed properties:
Theoretical density, g/cm3: 10.61

abc: 3.7518 6.3044 10.7601
angles: 89.46 90.00 90.00
Closest atoms and distances in Å follow each position.
Atoms (fractional coordinates):
Ti: 0.7500 0.5327 0.3831  5 P 2.58-2.65, 4 Ir 2.87
Ti: 0.2500 0.9752 0.7133  5 P 2.60-2.73, 5 Ir 2.82-2.86
Ti: 0.7500 0.0248 0.2867  5 P 2.60-2.73, 5 Ir 2.82-2.86
Ti: 0.7500 0.6504 0.0787  5 P 2.53-2.70, 2 Ir 2.78
Ti: 0.2500 0.4673 0.6169  5 P 2.58-2.65, 4 Ir 2.87
Ti: 0.2500 0.3496 0.9213  5 P 2.53-2.70, 2 Ir 2.78
P: 0.2500 0.7508 0.9174  5 Ir 2.37-2.55, 4 Ti 2.53-2.63
P: 0.7500 0.2696 0.7469  3 Ir 2.30-2.36
P: 0.7500 0.7532 0.5842  4 Ir 2.36-2.54, 3 Ti 2.58-2.62
P: 0.7500 0.2492 0.0826  5 Ir 2.37-2.55, 4 Ti 2.53-2.63
P: 0.2500 0.2468 0.4158  4 Ir 2.36-2.54, 3 Ti 2.58-2.62
P: 0.2500 0.7304 0.2531  3 Ir 2.30-2.36
Ir: 0.2500 0.9751 0.0929  4 P 2.30-2.55
Ir: 0.2500 0.8496 0.4599  4 P 2.36-2.54
Ir: 0.7500 0.6325 0.7926  4 P 2.34-2.43
Ir: 0.7500 0.1504 0.5401  4 P 2.36-2.54
Ir: 0.2500 0.3675 0.2074  4 P 2.34-2.43
Ir: 0.7500 0.0249 0.9071  4 P 2.30-2.55


A plane-wave DFT calculation with PBE was carried out for a geometry-optimized Ti4PIr structure.

Computed properties:
Theoretical density, g/cm3: 6.45

abc: 6.1572 5.8919 5.9079
angles: 90.00 94.98 90.00
Closest atoms and distances in Å follow each position.
Atoms (fractional coordinates):
Ti: 0.8569 0.6535 0.1506  1 P 2.35, 2 Ir 2.42-2.47
Ti: 0.6431 0.1535 0.8494  1 P 2.35, 2 Ir 2.42-2.47
Ti: 0.3154 0.3406 0.3446  2 P 2.41-2.45, 1 Ir 2.59
Ti: 0.1846 0.8406 0.6554  2 P 2.41-2.45, 1 Ir 2.59
Ti: 0.1431 0.3465 0.8494  1 P 2.35, 2 Ir 2.42-2.47
Ti: 0.3569 0.8465 0.1506  1 P 2.35, 2 Ir 2.42-2.47
Ti: 0.6846 0.6594 0.6554  2 P 2.41-2.45, 1 Ir 2.59
Ti: 0.8154 0.1594 0.3446  2 P 2.41-2.45, 1 Ir 2.59
P: 0.5000 0.0000 0.5000  6 Ti 2.35-2.45
P: 0.0000 0.5000 0.5000  6 Ti 2.35-2.45
Ir: 0.0000 0.0000 0.0000  6 Ti 2.42-2.59
Ir: 0.5000 0.5000 0.0000  6 Ti 2.42-2.59


A plane-wave DFT calculation with PBE was carried out for a geometry-optimized Ti2PIr structure.

Computed properties:
Theoretical density, g/cm3: 8.39

abc: 6.8217 6.8217 5.5345
angles: 51.95 51.95 90.00
Closest atoms and distances in Å follow each position.
Atoms (fractional coordinates):
P: 0.5000 0.5000 0.0000  4 Ti 2.45, 2 Ir 2.71
P: 0.2500 0.7500 0.5000  4 Ti 2.45, 2 Ir 2.71
Ir: 0.0000 0.0000 0.0000  4 Ti 2.56, 2 P 2.71
Ir: 0.7500 0.2500 0.5000  4 Ti 2.56, 2 P 2.71
Ti: 0.6133 0.1250 0.2500  2 P 2.45, 2 Ir 2.56, 2 Ti 2.72
Ti: 0.1367 0.6250 0.2500  2 P 2.45, 2 Ir 2.56, 2 Ti 2.72
Ti: 0.3750 0.3867 0.7500  2 P 2.45, 2 Ir 2.56, 2 Ti 2.72
Ti: 0.8750 0.8633 0.7500  2 P 2.45, 2 Ir 2.56, 2 Ti 2.72


A plane-wave DFT calculation with PBE was carried out for a geometry-optimized Y2TiP3Ir4 structure.

Computed properties:
Theoretical density, g/cm3: 10.79

abc: 3.9978 3.9978 10.4729
angles: 90.00 90.00 90.00
Closest atoms and distances in Å follow each position.
Atoms (fractional coordinates):
Y: 0.5000 0.0000 0.2340  4 P 3.01, 8 Ir 3.11-3.16
Y: 0.0000 0.5000 0.7660  4 P 3.01, 8 Ir 3.11-3.16
Ti: 0.5000 0.5000 0.5000  4 Ir 2.50
P: 0.0000 0.0000 0.5000  4 Ir 2.50
P: 0.5000 0.0000 0.8645  5 Ir 2.32-2.45
P: 0.0000 0.5000 0.1355  5 Ir 2.32-2.45
Ir: 0.5000 0.5000 0.0000  4 P 2.45
Ir: 0.0000 0.0000 0.0000  4 P 2.45
Ir: 0.5000 0.0000 0.6427  3 P 2.32-2.50, 2 Ti 2.50
Ir: 0.0000 0.5000 0.3573  3 P 2.32-2.50, 2 Ti 2.50


A plane-wave DFT calculation with PBE was carried out for a geometry-optimized TlP2Ir structure.

Computed properties:
Energy relative to the lowest polymorph listed for this composition, eV/atom: 0.417
Theoretical density, g/cm3: 8.92

abc: 5.9174 5.9174 5.9174
angles: 151.62 118.71 68.89
Closest atoms and distances in Å follow each position.
Atoms (fractional coordinates):
Ir: 0.2500 0.7500 0.5000  4 P 2.35
P: 0.0603 0.0603 0.0000  2 Ir 2.35
P: 0.4397 0.4397 0.0000  2 Ir 2.35
Tl: 0.7500 0.2500 0.5000  2 Tl 2.90


A plane-wave DFT calculation with PBE was carried out for a geometry-optimized Tl2PIr structure.

Computed properties:
Energy relative to the lowest polymorph listed for this composition, eV/atom: 0.829
Theoretical density, g/cm3: 12.84

abc: 5.1995 5.1995 4.8454
angles: 85.06 85.06 38.80
Closest atoms and distances in Å follow each position.
Atoms (fractional coordinates):
Ir: 0.7500 0.7500 0.7500  6 Tl 2.93-3.04, 4 P 2.98
P: 0.2500 0.2500 0.2500  2 Tl 2.74, 4 Ir 2.98
Tl: 0.0130 0.0130 0.9927  1 P 2.74, 3 Ir 2.93-3.04, 4 Tl 2.95-3.02
Tl: 0.4870 0.4870 0.5073  1 P 2.74, 3 Ir 2.93-3.04, 4 Tl 2.95-3.02


A plane-wave DFT calculation with PBE was carried out for a geometry-optimized TlP3Ir structure.

Computed properties:
Energy relative to the lowest polymorph listed for this composition, eV/atom: 0.000
Theoretical density, g/cm3: 7.62

abc: 4.7421 4.7421 4.7421
angles: 90.00 90.00 90.00
Closest atoms and distances in Å follow each position.
Atoms (fractional coordinates):
P: 0.0000 0.5000 0.0000  2 Ir 2.37
P: 0.0000 0.0000 0.5000  2 Ir 2.37
P: 0.5000 0.0000 0.0000  2 Ir 2.37
Tl: 0.5000 0.5000 0.5000  12 P 3.35
Ir: 0.0000 0.0000 0.0000  6 P 2.37


| no. | spin magnetization (μB per formula unit) | DFT formation energy (eV per atom) |
| --- | --- | --- |
| 1 | 0.00 | -0.354 |
| 2 | 0.00 | -1.018 |
| 3 | 0.00 | -0.453 |
| 4 | 0.00 | -0.449 |
| 5 | 0.00 | -1.004 |
| 6 | 0.00 | 0.277 |
| 7 | 0.00 | 0.744 |
| 8 | 0.00 | 0.622 |